# PaSn5 | Alexandria via LeMat-Bulk | PBE | relaxed
data_PaSn5
_cell_length_a 7.2672
_cell_length_b 7.2672
_cell_length_c 12.7826
_cell_angle_alpha 90.00
_cell_angle_beta 90.00
_cell_angle_gamma 90.00
_symmetry_space_group_name_H-M 'I 4/m c m'
_symmetry_Int_Tables_number 140
_symmetry_space_group_name_Hall '-I 4 2c'
loop_
_atom_site_label
_atom_site_type_symbol
_atom_site_fract_x
_atom_site_fract_y
_atom_site_fract_z
Pa1 Pa 0.0000 0.0000 0.2500
Sn1 Sn 0.0000 0.0000 0.0000
Sn2 Sn 0.1442 0.3558 0.1221
# Mass density in g/cm³: 8.11
# Energy relative to the lowest polymorph listed for this composition in meV/atom: 103